(1)
# Zn2CrSi

An optimized crystal structure of Zn2CrSi (GGA-PBE, Alexandria).

The total energy comes out at -4.22 eV/atom. The total moment is 2.62 μB/f.u.

Lattice parameters (Å, degrees): 5.037 7.711 2.969 90.00 90.00 90.00
Space group Cmmm (No. 65)
Asymmetric unit:
Zn1 0.250 0.250 0.000
Cr1 0.000 0.000 0.500
Si1 0.000 0.500 0.500



(2)
# NaMnTe3

An optimized crystal structure of NaMnTe3 (GGA-PBE, Alexandria).

For the energy above the most stable polymorph in this dataset, the calculation gives 0 meV per atom. The total moment is 3.09 μB/f.u.

Lattice parameters (Å, degrees): 12.162 13.806 7.001 90.00 90.00 90.00
Space group Cmce (No. 64)
Asymmetric unit:
Na1 0.250 0.089 0.250
Mn1 0.000 0.163 0.565
Te1 0.000 0.024 0.287
Te2 0.130 0.207 0.871



(3)
# Ba2SiBr

An optimized crystal structure of Ba2SiBr (GGA-PBE, Alexandria).

For the energy above the most stable polymorph in this dataset, the calculation gives 26 meV per atom. The total moment is 0.99 μB/f.u.

Lattice parameters (Å, degrees): 4.678 32.887 4.163 90.00 90.00 90.00
Space group Cmcm (No. 63)
Asymmetric unit:
Ba1 0.000 0.059 0.250
Ba2 0.000 0.322 0.250
Si1 0.000 0.480 0.250
Br1 0.000 0.214 0.250



(4)
# U2Si3Pt4Rh

An optimized crystal structure of U2Si3Pt4Rh (GGA-PBE, Alexandria).

The total energy comes out at -7.71 eV/atom. The total moment is 4.01 μB/f.u.

Lattice parameters (Å, degrees): 3.957 3.957 11.192 90.00 90.00 90.00
Space group P-4m2 (No. 115)
Asymmetric unit:
U1 0.000 0.500 0.245
Si1 0.000 0.000 0.000
Si2 0.000 0.500 0.629
Pt1 0.000 0.000 0.500
Pt2 0.000 0.500 0.837
Pt3 0.500 0.500 0.500
Rh1 0.500 0.500 0.000